Below is Ba2Cu5P4 after structural relaxation, with properties calculated at the GGA-PBE level.

a b c (Å): 5.725 6.398 6.965
angles (deg): 79.41 65.73 63.42
Fractional positions:
Cu  0.500  0.500  0.000
Cu  0.750  0.500  0.500
Cu  0.500  0.000  0.000
Cu  0.000  0.500  0.000
Cu  0.250  0.500  0.500
P  0.219  0.309  0.253
P  0.781  0.691  0.747
P  0.528  0.691  0.253
P  0.472  0.309  0.747
Ba  0.852  0.000  0.295
Ba  0.148  0.000  0.705

Values from the calculation:
The value obtained for the spin magnetization is 0.00 μB/f.u. For the volume, the calculation gives 18.9 Å³ per atom. For the calculated total energy, the calculation gives -49.6 eV/f.u.

Below is BeAg2Te after structural relaxation, with properties calculated at the GGA-PBE level.

a b c (Å): 3.186 3.186 7.967
angles (deg): 90.00 90.00 106.56
Fractional positions:
Be  0.000  0.000  0.478
Ag  0.500  0.500  0.293
Ag  0.000  0.000  0.037
Te  0.500  0.500  0.691

Values from the calculation:
The energy above the most stable polymorph in this dataset is 217.1 meV/atom. Its energy relative to the elements, uncorrected is 0.36 eV per atom. The value obtained for the spin magnetization is 0.00 μB/f.u. For the volume, the calculation gives 19.4 Å³ per atom.

Below is Co2NiMoH after structural relaxation, with properties calculated at the GGA-PBE level.

a b c (Å): 3.623 3.623 3.786
angles (deg): 90.00 90.00 90.00
Fractional positions:
Co  0.500  0.000  0.000
Co  0.000  0.500  0.000
Ni  0.500  0.500  0.500
Mo  0.000  0.000  0.500
H  0.000  0.000  0.000

Values from the calculation:
The energy above the most stable polymorph in this dataset is 34.6 meV/atom. The value obtained for the spin magnetization is 0.46 μB/f.u. For the volume, the calculation gives 9.9 Å³ per atom.

Question: Which of these has the highest spin magnetization?
Answer: Co2NiMoH

Question: What is the formula in the first record?
Answer: Ba2Cu5P4

Question: Among the records above, which one has the highest spin magnetization?
Answer: Co2NiMoH

Question: Number 2 is which compound?
Answer: BeAg2Te